# Cr4Si2Cl2O7 PBE+U relaxed
# * magnetic moment: 1.067 μB per atom
# * volume: 14.9 Å³/atom
# * DFT total energy: -7.317 eV per atom
data_Cr4Si2Cl2O7
_chemical_formula_sum 'Cr16 Si8 Cl8 O28'
_space_group_name_H-M_alt 'P 1'
_space_group_IT_number 1
_cell_length_a 6.504
_cell_length_b 12.934
_cell_length_c 10.648
_cell_angle_alpha 90.00
_cell_angle_beta 91.99
_cell_angle_gamma 90.00
loop_
_space_group_symop_operation_xyz
'x,y,z'
loop_
_atom_site_label
_atom_site_fract_x
_atom_site_fract_y
_atom_site_fract_z
Cr1 0.000 0.031 0.000
Cr2 0.000 0.969 0.500
Cr3 0.006 0.275 0.487
Cr4 0.006 0.725 0.987
Cr5 0.338 0.116 0.314
Cr6 0.338 0.884 0.814
Cr7 0.366 0.128 0.806
Cr8 0.366 0.872 0.306
Cr9 0.401 0.363 0.292
Cr10 0.401 0.637 0.792
Cr11 0.405 0.373 0.796
Cr12 0.405 0.627 0.296
Cr13 0.734 0.233 0.989
Cr14 0.734 0.767 0.489
Cr15 0.746 0.459 0.595
Cr16 0.746 0.541 0.095
Si1 0.242 0.261 0.053
Si2 0.242 0.739 0.553
Si3 0.251 0.496 0.537
Si4 0.251 0.504 0.037
Si5 0.507 0.001 0.552
Si6 0.507 0.999 0.052
Si7 0.511 0.239 0.545
Si8 0.511 0.761 0.045
Cl1 0.001 0.118 0.675
Cl2 0.001 0.882 0.175
Cl3 0.764 0.371 0.198
Cl4 0.764 0.629 0.698
Cl5 0.810 0.384 0.861
Cl6 0.810 0.616 0.361
Cl7 0.940 0.124 0.348
Cl8 0.940 0.876 0.848
O1 0.039 0.192 0.018
O2 0.039 0.808 0.518
O3 0.048 0.424 0.554
O4 0.048 0.576 0.054
O5 0.191 0.384 0.072
O6 0.191 0.616 0.572
O7 0.310 0.019 0.948
O8 0.310 0.981 0.448
O9 0.318 0.261 0.439
O10 0.318 0.739 0.939
O11 0.343 0.494 0.395
O12 0.343 0.506 0.895
O13 0.361 0.229 0.185
O14 0.361 0.771 0.685
O15 0.410 0.252 0.937
O16 0.410 0.748 0.437
O17 0.434 0.002 0.197
O18 0.434 0.998 0.697
O19 0.435 0.245 0.688
O20 0.435 0.755 0.188
O21 0.436 0.464 0.640
O22 0.436 0.536 0.140
O23 0.575 0.119 0.514
O24 0.575 0.881 0.014
O25 0.696 0.076 0.019
O26 0.696 0.924 0.519
O27 0.704 0.314 0.516
O28 0.704 0.686 0.016